Entry 1:
This record from Alexandria describes an optimized crystal structure of VSeSN2. The functional is GGA-PBE.

Summary:
crystal system	tetragonal
offset from the most stable computed form	0.0	meV per atom
E	-30.7	eV for the cell shown
raw formation energy	2.66	eV/f.u.
density of states at the Fermi level	2.55	states/eV per cell

a = 3.682 Å, b = 3.682 Å, c = 5.714 Å
α = 90.00°, β = 90.00°, γ = 90.00°
Space group P4/mmm (No. 123)
One atom of each set of equivalent atoms:
V  0.000  0.000  0.000 (multiplicity 1)
Se  0.000  0.000  0.500 (multiplicity 1)
S  0.500  0.500  0.500 (multiplicity 1)
N  0.000  0.500  0.000 (multiplicity 2)

---

Entry 2:
This record from Alexandria describes an optimized crystal structure of SrOs2Br. The functional is GGA-PBE.

Summary:
crystal system	trigonal
offset from the most stable computed form	1323.1	meV per atom
E	-60.7	eV for the cell shown
raw formation energy	5.59	eV/f.u.
density of states at the Fermi level	13.89	states/eV per cell

a = 3.0438 Å, b = 3.0438 Å, c = 28.3754 Å
α = 90.00°, β = 90.00°, γ = 120.00°
Space group R-3m (No. 166, hexagonal axes)
One atom of each set of equivalent atoms:
Sr  0.0000  0.0000  0.0000 (multiplicity 3)
Os  0.0000  0.0000  0.2415 (multiplicity 6)
Br  0.0000  0.0000  0.5000 (multiplicity 3)